The following is a GGA-PBEsol calculation of an optimized crystal structure of MnAlPb, from the Alexandria database.

Cell lengths 4.417, 4.417, 4.417 Å; angles 60.00, 60.00, 60.00 degrees
Fractional positions:
Mn1 0.000 0.000 0.000
Al1 0.750 0.750 0.750
Pb1 0.250 0.250 0.250

Results
crystal system: cubic



The following is a GGA-PBEsol calculation of an optimized crystal structure of MnAlPb2, from the Alexandria database.

Cell lengths 5.377, 5.377, 5.377 Å; angles 132.36, 127.16, 73.87 degrees
Fractional positions:
Mn1 0.000 0.000 0.000
Al1 0.500 0.500 0.000
Pb1 0.243 0.743 0.500
Pb2 0.757 0.257 0.500

Results
crystal system: orthorhombic



The following is a GGA-PBEsol calculation of an optimized crystal structure of MnAlPd2, from the Alexandria database.

Cell lengths 3.989, 3.989, 3.538 Å; angles 90.00, 90.00, 90.00 degrees
Fractional positions:
Mn1 0.000 0.000 0.000
Al1 0.500 0.500 0.000
Pd1 0.000 0.500 0.500
Pd2 0.500 0.000 0.500

Results
crystal system: tetragonal



The following is a GGA-PBEsol calculation of an optimized crystal structure of Mn3AlPd, from the Alexandria database.

Cell lengths 4.705, 4.705, 4.705 Å; angles 90.00, 90.00, 90.00 degrees
Fractional positions:
Mn1 0.000 0.000 0.500
Mn2 0.000 0.500 0.000
Mn3 0.500 0.000 0.000
Al1 0.500 0.500 0.500
Pd1 0.000 0.000 0.000

Results
crystal system: cubic



The following is a GGA-PBEsol calculation of an optimized crystal structure of Mn2AlPt, from the Alexandria database.

Cell lengths 4.465, 4.465, 4.465 Å; angles 128.99, 128.99, 75.03 degrees
Fractional positions:
Mn1 0.000 0.000 0.000
Mn2 0.750 0.250 0.500
Al1 0.250 0.750 0.500
Pt1 0.500 0.500 0.000

Results
crystal system: tetragonal



The following is a GGA-PBEsol calculation of an optimized crystal structure of Mn2AlPt, from the Alexandria database.

Cell lengths 4.571, 4.571, 2.690 Å; angles 90.00, 90.00, 110.20 degrees
Fractional positions:
Mn1 0.000 0.500 0.000
Mn2 0.500 0.000 0.000
Al1 0.000 0.000 0.500
Pt1 0.500 0.500 0.500

Results
crystal system: orthorhombic



The following is a GGA-PBEsol calculation of an optimized crystal structure of RbMn3Al, from the Alexandria database.

Cell lengths 4.980, 4.980, 4.980 Å; angles 90.00, 90.00, 90.00 degrees
Fractional positions:
Rb1 0.000 0.000 0.000
Mn1 0.000 0.500 0.500
Mn2 0.500 0.000 0.500
Mn3 0.500 0.500 0.000
Al1 0.500 0.500 0.500

Results
crystal system: cubic



The following is a GGA-PBEsol calculation of an optimized crystal structure of Rb2Mn2Al, from the Alexandria database.

Cell lengths 8.183, 8.183, 8.183 Å; angles 149.55, 149.55, 43.61 degrees
Fractional positions:
Rb1 0.250 0.750 0.500
Rb2 0.750 0.250 0.500
Mn1 0.076 0.076 0.000
Mn2 0.924 0.924 0.000
Al1 0.500 0.500 0.000

Results
crystal system: tetragonal



The following is a GGA-PBEsol calculation of an optimized crystal structure of RbZrMnAl2, from the Alexandria database.

Cell lengths 5.092, 5.092, 4.644 Å; angles 90.00, 90.00, 90.00 degrees
Fractional positions:
Rb1 0.000 0.000 0.000
Zr1 0.500 0.500 0.500
Mn1 0.000 0.000 0.500
Al1 0.000 0.500 0.000
Al2 0.500 0.000 0.000

Results
crystal system: tetragonal



The following is a GGA-PBEsol calculation of an optimized crystal structure of MnAl4Re, from the Alexandria database.

Cell lengths 4.961, 4.961, 4.961 Å; angles 60.00, 60.00, 60.00 degrees
Fractional positions:
Mn1 0.000 0.000 0.000
Al1 0.124 0.625 0.625
Al2 0.625 0.124 0.625
Al3 0.625 0.625 0.124
Al4 0.625 0.625 0.625
Re1 0.250 0.250 0.250

Results
crystal system: cubic



The following is a GGA-PBEsol calculation of an optimized crystal structure of MnAl2Re, from the Alexandria database.

Cell lengths 4.505, 4.505, 4.505 Å; angles 128.01, 128.01, 76.61 degrees
Fractional positions:
Mn1 0.000 0.000 0.000
Al1 0.250 0.750 0.500
Al2 0.750 0.250 0.500
Re1 0.500 0.500 0.000

Results
crystal system: tetragonal
distance to the lowest polymorph of the same formula: 147 meV per atom



The following is a GGA-PBEsol calculation of an optimized crystal structure of MnAl2Re, from the Alexandria database.

Cell lengths 2.968, 2.968, 5.925 Å; angles 90.00, 90.00, 90.00 degrees
Fractional positions:
Mn1 0.000 0.000 0.000
Al1 0.000 0.000 0.506
Al2 0.500 0.500 0.785
Re1 0.500 0.500 0.253

Results
crystal system: tetragonal
distance to the lowest polymorph of the same formula: 0 meV per atom



| no. | calculated volume (Å³ per cell) | ΔH_f (0 K) (kcal/mol of atoms) |
| --- | --- | --- |
| 1 | 60.9 | 8.96 |
| 2 | 89.3 | 10.70 |
| 3 | 56.3 | -11.57 |
| 4 | 104.2 | 26.30 |
| 5 | 52.4 | -9.10 |
| 6 | 52.7 | -5.40 |
| 7 | 123.5 | 29.29 |
| 8 | 140.4 | 32.88 |
| 9 | 120.4 | 46.36 |
| 10 | 86.3 | 4.60 |
| 11 | 55.1 | -1.88 |
| 12 | 52.2 | -5.28 |